No. 1
VASP calculation (PBE-GGA) on a relaxed SrY2Al crystal.

## Properties
size of the total moment = 0.00 μB/cell
energy relative to the elements = 0.05 eV/f.u.

Cell lengths 11.252, 11.252, 11.252 Å; angles 19.06, 19.06, 19.06 degrees
Positions (direct):
1 Sr 0.000 0.000 0.000
2 Y 0.232 0.232 0.232
3 Y 0.768 0.768 0.768
4 Al 0.500 0.500 0.500

No. 2
VASP calculation (PBE-GGA) on a relaxed SrYAl2 crystal.

## Properties
size of the total moment = 0.00 μB/cell
energy relative to the elements = -0.89 eV/f.u.

Cell lengths 4.558, 6.576, 6.576 Å; angles 34.41, 90.00, 90.00 degrees
Positions (direct):
1 Sr 0.000 0.000 0.000
2 Y 0.500 0.700 0.700
3 Al 0.000 0.273 0.273
4 Al 0.500 0.396 0.396

No. 3
VASP calculation (PBE-GGA) on a relaxed SrY3Al8 crystal.

## Properties
size of the total moment = 0.00 μB/cell
energy relative to the elements = -5.15 eV/f.u.

Cell lengths 5.631, 5.631, 9.221 Å; angles 90.00, 90.00, 120.00 degrees
Positions (direct):
1 Sr 0.000 0.000 0.000
2 Y 0.000 0.000 0.366
3 Y 0.667 0.333 0.501
4 Y 0.667 0.333 0.866
5 Al 0.163 0.325 0.677
6 Al 0.163 0.837 0.677
7 Al 0.333 0.667 0.434
8 Al 0.333 0.667 0.933
9 Al 0.505 0.010 0.191
10 Al 0.505 0.495 0.191
11 Al 0.675 0.837 0.677
12 Al 0.990 0.495 0.191

No. 4
VASP calculation (PBE-GGA) on a relaxed SrYAlZn crystal.

## Properties
size of the total moment = 0.00 μB/cell
energy relative to the elements = -0.78 eV/f.u.

Cell lengths 5.316, 5.316, 5.316 Å; angles 60.00, 60.00, 60.00 degrees
Positions (direct):
1 Sr 0.000 0.000 0.000
2 Y 0.500 0.500 0.500
3 Al 0.750 0.750 0.750
4 Zn 0.250 0.250 0.250

No. 5
VASP calculation (PBE-GGA) on a relaxed Sr3Al2Zn7 crystal.

## Properties
size of the total moment = 0.00 μB/cell
energy relative to the elements = -2.31 eV/f.u.

Cell lengths 9.469, 9.469, 9.469 Å; angles 35.43, 35.43, 35.43 degrees
Positions (direct):
1 Sr 0.000 0.000 0.000
2 Sr 0.142 0.142 0.142
3 Sr 0.858 0.858 0.858
4 Al 0.334 0.334 0.334
5 Al 0.666 0.666 0.666
6 Zn 0.078 0.582 0.582
7 Zn 0.418 0.418 0.922
8 Zn 0.418 0.922 0.418
9 Zn 0.500 0.500 0.500
10 Zn 0.582 0.078 0.582
11 Zn 0.582 0.582 0.078
12 Zn 0.922 0.418 0.418

No. 6
VASP calculation (PBE-GGA) on a relaxed Sr3AlZn3 crystal.

## Properties
size of the total moment = 0.00 μB/cell
energy relative to the elements = -1.52 eV/f.u.

Cell lengths 6.275, 6.275, 15.835 Å; angles 109.08, 109.08, 43.69 degrees
Positions (direct):
1 Sr 0.035 0.035 0.389
2 Sr 0.104 0.104 0.921
3 Sr 0.259 0.259 0.235
4 Sr 0.741 0.741 0.765
5 Sr 0.896 0.896 0.079
6 Sr 0.965 0.965 0.611
7 Al 0.254 0.254 0.599
8 Al 0.746 0.746 0.401
9 Zn 0.359 0.359 0.460
10 Zn 0.405 0.405 0.920
11 Zn 0.437 0.437 0.762
12 Zn 0.563 0.563 0.238
13 Zn 0.595 0.595 0.080
14 Zn 0.641 0.641 0.540

No. 7
VASP calculation (PBE-GGA) on a relaxed Sr2AlZn crystal.

## Properties
size of the total moment = 0.00 μB/cell
energy relative to the elements = -0.04 eV/f.u.

Cell lengths 3.742, 3.742, 9.139 Å; angles 90.00, 90.00, 92.37 degrees
Positions (direct):
1 Sr 0.000 0.000 0.000
2 Sr 0.500 0.500 0.392
3 Al 0.000 0.000 0.635
4 Zn 0.500 0.500 0.769

No. 8
VASP calculation (PBE-GGA) on a relaxed SrAlZn11 crystal.

## Properties
size of the total moment = 0.00 μB/cell
energy relative to the elements = -1.59 eV/f.u.

Cell lengths 6.902, 6.902, 6.908 Å; angles 98.63, 98.63, 134.18 degrees
Positions (direct):
1 Sr 0.000 0.000 0.000
2 Al 0.500 0.500 0.500
3 Zn 0.000 0.000 0.500
4 Zn 0.000 0.500 0.000
5 Zn 0.003 0.647 0.645
6 Zn 0.274 0.501 0.777
7 Zn 0.353 0.997 0.355
8 Zn 0.499 0.726 0.223
9 Zn 0.500 0.000 0.000
10 Zn 0.501 0.274 0.777
11 Zn 0.647 0.003 0.645
12 Zn 0.726 0.499 0.223
13 Zn 0.997 0.353 0.355

No. 9
VASP calculation (PBE-GGA) on a relaxed Sr3Al2Zn3 crystal.

## Properties
size of the total moment = 0.00 μB/cell
energy relative to the elements = -0.74 eV/f.u.

Cell lengths 7.295, 7.295, 15.140 Å; angles 90.00, 90.00, 144.65 degrees
Positions (direct):
1 Sr 0.027 0.973 0.750
2 Sr 0.142 0.858 0.503
3 Sr 0.142 0.858 0.997
4 Sr 0.858 0.142 0.003
5 Sr 0.858 0.142 0.497
6 Sr 0.973 0.027 0.250
7 Al 0.319 0.681 0.664
8 Al 0.319 0.681 0.836
9 Al 0.681 0.319 0.164
10 Al 0.681 0.319 0.336
11 Zn 0.226 0.774 0.250
12 Zn 0.490 0.510 0.587
13 Zn 0.490 0.510 0.913
14 Zn 0.510 0.490 0.087
15 Zn 0.510 0.490 0.413
16 Zn 0.774 0.226 0.750

No. 10
VASP calculation (PBE-GGA) on a relaxed Sr2AlZn2 crystal.

## Properties
size of the total moment = 0.00 μB/cell
energy relative to the elements = -0.10 eV/f.u.

Cell lengths 10.277, 10.277, 10.277 Å; angles 158.55, 158.55, 30.52 degrees
Positions (direct):
1 Sr 0.104 0.104 0.000
2 Sr 0.896 0.896 0.000
3 Al 0.500 0.500 0.000
4 Zn 0.250 0.750 0.500
5 Zn 0.750 0.250 0.500

No. 11
VASP calculation (PBE-GGA) on a relaxed SrAlZn6 crystal.

## Properties
size of the total moment = 0.00 μB/cell
energy relative to the elements = -0.89 eV/f.u.

Cell lengths 4.324, 4.324, 8.436 Å; angles 90.00, 90.00, 90.00 degrees
Positions (direct):
1 Sr 0.000 0.000 0.000
2 Al 0.000 0.000 0.500
3 Zn 0.000 0.500 0.327
4 Zn 0.000 0.500 0.673
5 Zn 0.500 0.000 0.327
6 Zn 0.500 0.000 0.673
7 Zn 0.500 0.500 0.151
8 Zn 0.500 0.500 0.849

No. 12
VASP calculation (PBE-GGA) on a relaxed Sr2AlZn crystal.

## Properties
size of the total moment = 0.00 μB/cell
energy relative to the elements = -0.67 eV/f.u.

Cell lengths 5.009, 4.611, 6.186 Å; angles 90.00, 113.80, 90.00 degrees
Positions (direct):
1 Sr 0.000 0.000 0.000
2 Sr 0.288 0.500 0.576
3 Al 0.592 0.500 0.184
4 Zn 0.694 0.000 0.389